No. 1
First-principles (meta-GGA SCAN) data for Nb6SnTe8 at its PBEsol-relaxed geometry, as listed in Alexandria.

Summary:
final energy	-35.9319	eV/atom
symmetry	P-3
raw formation energy	-40.3	kJ/mol of atoms

a = 10.580 Å, b = 10.580 Å, c = 3.602 Å
α = 90.00°, β = 90.00°, γ = 120.00°
Positions (direct):
Nb 0.103 0.488 0.249
Nb 0.385 0.897 0.249
Nb 0.488 0.385 0.751
Nb 0.512 0.615 0.249
Nb 0.615 0.103 0.751
Nb 0.897 0.512 0.751
Sn 0.000 0.000 0.000
Te 0.065 0.734 0.252
Te 0.266 0.331 0.252
Te 0.331 0.065 0.748
Te 0.333 0.667 0.749
Te 0.667 0.333 0.251
Te 0.669 0.935 0.252
Te 0.734 0.669 0.748
Te 0.935 0.266 0.748

---

No. 2
First-principles (meta-GGA SCAN) data for Ti3Nb3Sn2 at its PBEsol-relaxed geometry, as listed in Alexandria.

Summary:
final energy	-27.7444	eV/atom
symmetry	R32
formation enthalpy at 0 K	-0.33	eV per atom

a = 5.218 Å, b = 5.218 Å, c = 5.218 Å
α = 90.25°, β = 90.25°, γ = 90.25°
Positions (direct):
Ti 0.000 0.739 0.261
Ti 0.261 0.000 0.739
Ti 0.739 0.261 0.000
Nb 0.255 0.500 0.745
Nb 0.500 0.745 0.255
Nb 0.745 0.255 0.500
Sn 0.243 0.243 0.243
Sn 0.757 0.757 0.757

---

No. 3
First-principles (meta-GGA SCAN) data for TiNb3Sn at its PBEsol-relaxed geometry, as listed in Alexandria.

Summary:
final energy	-28.6354	eV/atom
symmetry	Pm-3m
formation enthalpy at 0 K	1.63	eV per atom

a = 4.956 Å, b = 4.956 Å, c = 4.956 Å
α = 90.00°, β = 90.00°, γ = 90.00°
Positions (direct):
Ti 0.000 0.000 0.000
Nb 0.000 0.500 0.500
Nb 0.500 0.000 0.500
Nb 0.500 0.500 0.000
Sn 0.500 0.500 0.500

---

No. 4
First-principles (meta-GGA SCAN) data for TiNbSn2 at its PBEsol-relaxed geometry, as listed in Alexandria.

Summary:
final energy	-30.2624	eV/atom
symmetry	Fm-3m
formation enthalpy at 0 K	-0.01	eV per atom

a = 6.728 Å, b = 6.728 Å, c = 6.728 Å
α = 90.00°, β = 90.00°, γ = 90.00°
Positions (direct):
Ti 0.000 0.000 0.000
Ti 0.000 0.500 0.500
Ti 0.500 0.000 0.500
Ti 0.500 0.500 0.000
Nb 0.000 0.000 0.500
Nb 0.000 0.500 0.000
Nb 0.500 0.000 0.000
Nb 0.500 0.500 0.500
Sn 0.250 0.250 0.250
Sn 0.250 0.250 0.750
Sn 0.250 0.750 0.250
Sn 0.250 0.750 0.750
Sn 0.750 0.250 0.250
Sn 0.750 0.250 0.750
Sn 0.750 0.750 0.250
Sn 0.750 0.750 0.750

---

No. 5
First-principles (meta-GGA SCAN) data for YTiNbSn2 at its PBEsol-relaxed geometry, as listed in Alexandria.

Summary:
final energy	-29.1432	eV/atom
symmetry	P4/mmm
formation enthalpy at 0 K	0.63	eV per atom

a = 5.288 Å, b = 5.288 Å, c = 5.092 Å
α = 90.00°, β = 90.00°, γ = 90.00°
Positions (direct):
Y 0.000 0.000 0.000
Ti 0.500 0.500 0.000
Nb 0.000 0.000 0.500
Sn 0.000 0.500 0.500
Sn 0.500 0.000 0.500

---

No. 6
First-principles (meta-GGA SCAN) data for YNb3Sn at its PBEsol-relaxed geometry, as listed in Alexandria.

Summary:
final energy	-30.8268	eV/atom
symmetry	Pm-3m
formation enthalpy at 0 K	1.80	eV per atom

a = 4.876 Å, b = 4.876 Å, c = 4.876 Å
α = 90.00°, β = 90.00°, γ = 90.00°
Positions (direct):
Y 0.000 0.000 0.000
Nb 0.000 0.000 0.500
Nb 0.000 0.500 0.000
Nb 0.500 0.000 0.000
Sn 0.500 0.500 0.500

---

No. 7
First-principles (meta-GGA SCAN) data for NbZnSn3 at its PBEsol-relaxed geometry, as listed in Alexandria.

Summary:
final energy	-29.9492	eV/atom
symmetry	Pm-3m
formation enthalpy at 0 K	0.93	eV per atom

a = 5.024 Å, b = 5.024 Å, c = 5.024 Å
α = 90.00°, β = 90.00°, γ = 90.00°
Positions (direct):
Nb 0.000 0.000 0.000
Zn 0.500 0.500 0.500
Sn 0.000 0.500 0.500
Sn 0.500 0.000 0.500
Sn 0.500 0.500 0.000

---

No. 8
First-principles (meta-GGA SCAN) data for SrNbZnTc2 at its PBEsol-relaxed geometry, as listed in Alexandria.

Summary:
final energy	-26.8766	eV/atom
symmetry	P4/mmm
formation enthalpy at 0 K	0.93	eV per atom

a = 4.704 Å, b = 4.704 Å, c = 5.157 Å
α = 90.00°, β = 90.00°, γ = 90.00°
Positions (direct):
Sr 0.000 0.000 0.000
Nb 0.500 0.500 0.500
Zn 0.500 0.500 0.000
Tc 0.000 0.500 0.500
Tc 0.500 0.000 0.500

---

No. 9
First-principles (meta-GGA SCAN) data for SrNb2Te2 at its PBEsol-relaxed geometry, as listed in Alexandria.

Summary:
final energy	-33.2373	eV/atom
symmetry	I4/mmm
raw formation energy	-60.8	kJ/mol of atoms

a = 4.023 Å, b = 4.023 Å, c = 15.373 Å
α = 90.00°, β = 90.00°, γ = 90.00°
Positions (direct):
Sr 0.000 0.000 0.000
Sr 0.500 0.500 0.500
Nb 0.000 0.500 0.250
Nb 0.000 0.500 0.750
Nb 0.500 0.000 0.250
Nb 0.500 0.000 0.750
Te 0.000 0.000 0.381
Te 0.000 0.000 0.619
Te 0.500 0.500 0.119
Te 0.500 0.500 0.881

---

No. 10
First-principles (meta-GGA SCAN) data for SrNbTe3 at its PBEsol-relaxed geometry, as listed in Alexandria.

Summary:
final energy	-32.6325	eV/atom
excess energy over the best structure of this formula in the dataset	31.90	kcal/mol of atoms
symmetry	Pm-3m
raw formation energy	77.1	kJ/mol of atoms

a = 5.851 Å, b = 5.851 Å, c = 5.851 Å
α = 90.00°, β = 90.00°, γ = 90.00°
Positions (direct):
Sr 0.000 0.000 0.000
Nb 0.500 0.500 0.500
Te 0.000 0.000 0.500
Te 0.000 0.500 0.000
Te 0.500 0.000 0.000

---

No. 11
First-principles (meta-GGA SCAN) data for SrNbTe3 at its PBEsol-relaxed geometry, as listed in Alexandria.

Summary:
final energy	-34.0156	eV/atom
excess energy over the best structure of this formula in the dataset	0.00	kcal/mol of atoms
symmetry	Pm-3m
raw formation energy	-56.3	kJ/mol of atoms

a = 5.439 Å, b = 5.439 Å, c = 5.439 Å
α = 90.00°, β = 90.00°, γ = 90.00°
Positions (direct):
Sr 0.000 0.000 0.000
Nb 0.500 0.500 0.500
Te 0.000 0.500 0.500
Te 0.500 0.000 0.500
Te 0.500 0.500 0.000

---

No. 12
First-principles (meta-GGA SCAN) data for SrNb3W at its PBEsol-relaxed geometry, as listed in Alexandria.

Summary:
final energy	-37.2344	eV/atom
symmetry	Pm-3m
formation enthalpy at 0 K	1.04	eV per atom

a = 4.962 Å, b = 4.962 Å, c = 4.962 Å
α = 90.00°, β = 90.00°, γ = 90.00°
Positions (direct):
Sr 0.000 0.000 0.000
Nb 0.000 0.500 0.500
Nb 0.500 0.000 0.500
Nb 0.500 0.500 0.000
W 0.500 0.500 0.500